1.
## BaAc5S8 (PBE)

Data for a geometry-optimized BaAc5S8 structure.

a = 7.881 Å, b = 7.881 Å, c = 7.881 Å
α = 109.30°, β = 109.30°, γ = 109.82°
Fractional coordinates of all 14 atoms:
1 Ba 0.000 0.000 0.000
2 Ac 0.122 0.243 0.621
3 Ac 0.250 0.750 0.500
4 Ac 0.499 0.878 0.121
5 Ac 0.622 0.501 0.379
6 Ac 0.757 0.378 0.879
7 S 0.025 0.617 0.743
8 S 0.231 0.485 0.101
9 S 0.383 0.126 0.409
10 S 0.383 0.130 0.899
11 S 0.515 0.617 0.746
12 S 0.718 0.975 0.591
13 S 0.870 0.769 0.254
14 S 0.874 0.282 0.257

Results
The calculation puts the density of states at the Fermi level at 6.57 states/eV/f.u. For the uncorrected formation energy, the calculation gives -2.13 eV/atom. For the magnetic moment, the calculation gives 0.00 Bohr magnetons per cell.


2.
## BaAcS (PBE)

Data for a geometry-optimized BaAcS structure.

a = 4.461 Å, b = 8.449 Å, c = 16.453 Å
α = 90.00°, β = 90.00°, γ = 90.00°
Fractional coordinates of all 12 atoms:
1 Ba 0.000 0.000 0.207
2 Ba 0.000 0.000 0.793
3 Ba 0.500 0.500 0.293
4 Ba 0.500 0.500 0.707
5 Ac 0.000 0.249 0.500
6 Ac 0.000 0.751 0.500
7 Ac 0.500 0.251 0.000
8 Ac 0.500 0.749 0.000
9 S 0.000 0.000 0.386
10 S 0.000 0.000 0.614
11 S 0.500 0.500 0.114
12 S 0.500 0.500 0.886

Results
The calculation puts the density of states at the Fermi level at 2.11 states/eV/f.u. For the uncorrected formation energy, the calculation gives -0.78 eV/atom. For the magnetic moment, the calculation gives 0.00 Bohr magnetons per cell.


3.
## BaAc5S6 (PBE)

Data for a geometry-optimized BaAc5S6 structure.

a = 7.517 Å, b = 7.517 Å, c = 7.512 Å
α = 99.56°, β = 99.56°, γ = 120.00°
Fractional coordinates of all 12 atoms:
1 Ba 0.000 0.000 0.000
2 Ac 0.164 0.836 0.500
3 Ac 0.333 0.667 0.000
4 Ac 0.500 0.500 0.500
5 Ac 0.667 0.333 0.000
6 Ac 0.836 0.164 0.500
7 S 0.085 0.427 0.256
8 S 0.257 0.257 0.748
9 S 0.427 0.085 0.256
10 S 0.573 0.915 0.744
11 S 0.743 0.743 0.252
12 S 0.915 0.573 0.744

Results
The calculation puts the density of states at the Fermi level at 6.88 states/eV/f.u. For the uncorrected formation energy, the calculation gives -2.01 eV/atom. For the magnetic moment, the calculation gives 0.00 Bohr magnetons per cell.


4.
## BaAcS14 (PBE)

Data for a geometry-optimized BaAcS14 structure.

a = 11.579 Å, b = 11.579 Å, c = 10.977 Å
α = 109.11°, β = 109.11°, γ = 45.03°
Fractional coordinates of all 32 atoms:
1 Ba 0.049 0.951 0.750
2 Ba 0.951 0.049 0.250
3 Ac 0.500 0.500 0.000
4 Ac 0.500 0.500 0.500
5 S 0.000 0.210 0.618
6 S 0.000 0.790 0.382
7 S 0.001 0.794 0.980
8 S 0.025 0.514 0.108
9 S 0.159 0.647 0.846
10 S 0.162 0.642 0.523
11 S 0.206 0.999 0.520
12 S 0.210 0.000 0.118
13 S 0.268 0.373 0.154
14 S 0.340 0.512 0.199
15 S 0.353 0.841 0.654
16 S 0.358 0.838 0.977
17 S 0.373 0.268 0.654
18 S 0.486 0.975 0.392
19 S 0.488 0.660 0.301
20 S 0.512 0.340 0.699
21 S 0.514 0.025 0.608
22 S 0.627 0.732 0.346
23 S 0.642 0.162 0.023
24 S 0.647 0.159 0.346
25 S 0.660 0.488 0.801
26 S 0.732 0.627 0.846
27 S 0.790 0.000 0.882
28 S 0.794 0.001 0.480
29 S 0.838 0.358 0.477
30 S 0.841 0.353 0.154
31 S 0.975 0.486 0.892
32 S 0.999 0.206 0.020

Results
The calculation puts the density of states at the Fermi level at 7.03 states/eV/f.u. For the uncorrected formation energy, the calculation gives -0.46 eV/atom. For the magnetic moment, the calculation gives 0.01 Bohr magnetons per cell.


Q: The lowest density of states at the Fermi level belongs to which entry?
A: BaAcS